A geometry-optimized TbDy2P structure, computed with PBE-GGA.

a b c (Å): 9.621 9.621 9.621
angles (deg): 22.65 22.65 22.65
Sites, in units of the cell vectors:
Tb (0.000, 0.000, 0.000)
Dy (0.225, 0.225, 0.225)
Dy (0.775, 0.775, 0.775)
P (0.500, 0.500, 0.500)

## Properties
**Space group**: R-3m, No. 166
**Total magnetization**: 0.00 μB per cell
**E_form**: -2.7 eV per formula unit
**E**: -5.495 eV per atom